1.
## La5PrMg (PBE)

Data for an optimized crystal structure of La5PrMg.

Computed properties:
- Energy of formation from the pure elements: 0.7 eV/f.u.
- Space group: No. 15

Geometry as CIF:
```
data_La5PrMg
_symmetry_space_group_name_H-M 'P 1'
_symmetry_Int_Tables_number 1
_symmetry_space_group_name_Hall 'P 1'
_cell_length_a 6.949
_cell_length_b 6.949
_cell_length_c 13.144
_cell_angle_alpha 111.92
_cell_angle_beta 111.92
_cell_angle_gamma 59.22
loop_
_atom_site_label
_atom_site_fract_x
_atom_site_fract_y
_atom_site_fract_z
_atom_site_occupancy
La1 0.137 0.344 0.777 1
La2 0.153 0.181 0.515 1
La3 0.181 0.153 0.015 1
La4 0.225 0.775 0.750 1
La5 0.344 0.137 0.277 1
La6 0.656 0.863 0.723 1
La7 0.775 0.225 0.250 1
La8 0.819 0.847 0.985 1
La9 0.847 0.819 0.485 1
La10 0.863 0.656 0.223 1
Pr1 0.317 0.683 0.250 1
Pr2 0.683 0.317 0.750 1
Mg1 0.500 0.500 0.000 1
Mg2 0.500 0.500 0.500 1
```

***

2.
## CaCdF2 (PBE)

Data for an optimized crystal structure of CaCdF2.

Computed properties:
- Space group: No. 122

Geometry as CIF:
```
data_CaCdF2
_symmetry_space_group_name_H-M 'P 1'
_symmetry_Int_Tables_number 1
_symmetry_space_group_name_Hall 'P 1'
_cell_length_a 6.692
_cell_length_b 6.692
_cell_length_c 10.671
_cell_angle_alpha 90.00
_cell_angle_beta 90.00
_cell_angle_gamma 90.00
loop_
_atom_site_label
_atom_site_fract_x
_atom_site_fract_y
_atom_site_fract_z
_atom_site_occupancy
Ca1 0.000 0.000 0.000 1
Ca2 0.000 0.500 0.250 1
Ca3 0.500 0.000 0.750 1
Ca4 0.500 0.500 0.500 1
Cd1 0.000 0.000 0.500 1
Cd2 0.000 0.500 0.750 1
Cd3 0.500 0.000 0.250 1
Cd4 0.500 0.500 0.000 1
F1 0.037 0.250 0.125 1
F2 0.250 0.537 0.375 1
F3 0.250 0.963 0.875 1
F4 0.463 0.250 0.625 1
F5 0.537 0.750 0.625 1
F6 0.750 0.037 0.875 1
F7 0.750 0.463 0.375 1
F8 0.963 0.750 0.125 1
```

***

3.
## SnSO4 (PBE)

Data for an optimized crystal structure of SnSO4.

Computed properties:
- Space group: No. 14

Geometry as CIF:
```
data_SnSO4
_symmetry_space_group_name_H-M 'P 1'
_symmetry_Int_Tables_number 1
_symmetry_space_group_name_Hall 'P 1'
_cell_length_a 5.201
_cell_length_b 7.879
_cell_length_c 9.608
_cell_angle_alpha 90.00
_cell_angle_beta 91.09
_cell_angle_gamma 90.00
loop_
_atom_site_label
_atom_site_fract_x
_atom_site_fract_y
_atom_site_fract_z
_atom_site_occupancy
Sn1 0.175 0.237 0.174 1
Sn2 0.175 0.263 0.674 1
Sn3 0.825 0.737 0.326 1
Sn4 0.825 0.763 0.826 1
S1 0.277 0.693 0.603 1
S2 0.277 0.807 0.103 1
S3 0.723 0.193 0.897 1
S4 0.723 0.307 0.397 1
O1 0.094 0.672 0.151 1
O2 0.094 0.828 0.651 1
O3 0.218 0.647 0.456 1
O4 0.218 0.853 0.956 1
O5 0.240 0.543 0.699 1
O6 0.240 0.957 0.199 1
O7 0.455 0.246 0.384 1
O8 0.455 0.254 0.884 1
O9 0.545 0.746 0.116 1
O10 0.545 0.754 0.616 1
O11 0.760 0.043 0.801 1
O12 0.760 0.457 0.301 1
O13 0.782 0.147 0.044 1
O14 0.782 0.353 0.544 1
O15 0.906 0.172 0.349 1
O16 0.906 0.328 0.849 1
```

***

| no. | E (eV/atom) | total moment (Bohr magnetons per cell) |
| --- | --- | --- |
| 1 | -4.328 | 0.0 |
| 2 | -4.271 | 0.0 |
| 3 | -6.041 | 0.0 |